[1]
Computed, not measured: TbPm5Er after structural relaxation at the PBE-GGA level of DFT.

Lattice parameters (Å, degrees): 5.880 8.794 12.087 90.00 90.00 90.00
Space group Immm (No. 71)
One atom of each set of equivalent atoms:
Tb1 0.000 0.000 0.000 x2
Pm1 0.000 0.000 0.252 x4
Pm2 0.000 0.322 0.500 x4
Pm3 0.000 0.500 0.000 x2
Er1 0.000 0.000 0.500 x2

Summary:
* offset from the most stable computed form: 833 meV per atom
* E_tot: -0.272 Ry/atom



[2]
Computed, not measured: Ca2TcNiIr after structural relaxation at the PBE-GGA level of DFT.

Lattice parameters (Å, degrees): 5.251 5.251 4.332 90.00 90.00 90.00
Space group P4/mmm (No. 123)
One atom of each set of equivalent atoms:
Ca1 0.000 0.500 0.000 x2
Tc1 0.000 0.000 0.000 x1
Ni1 0.000 0.000 0.500 x1
Ir1 0.500 0.500 0.500 x1

Summary:
* E_tot: -0.340 Ry/atom



[3]
Computed, not measured: LaCeBr2 after structural relaxation at the PBE-GGA level of DFT.

Lattice parameters (Å, degrees): 3.7277 3.7277 27.9548 90.00 90.00 120.00
Space group R3m (No. 160, hexagonal axes)
One atom of each set of equivalent atoms:
La1 0.0000 0.0000 0.0000 x3
Ce1 0.0000 0.0000 0.1654 x3
Br1 0.0000 0.0000 0.4166 x3
Br2 0.0000 0.0000 0.5825 x3

Summary:
* offset from the most stable computed form: 3 meV per atom
* E_tot: -0.347 Ry/atom
* uncorrected formation energy: -1169 meV per atom